{"formula": "CsNpCdI6", "functional": "GGA-PBE", "state": "relaxed", "lattice": [[4.051, -6.889, 0.000], [4.051, 6.889, 0.000], [-0.014, 0.000, 8.538]], "species": ["Cs", "Np", "Cd", "I", "I", "I", "I", "I", "I"], "frac_coords": [[0.000, 0.000, 0.000], [0.668, 0.332, 0.500], [0.335, 0.665, 0.500], [0.005, 0.628, 0.705], [0.012, 0.383, 0.292], [0.372, 0.375, 0.710], [0.372, 0.995, 0.295], [0.617, 0.988, 0.708], [0.625, 0.628, 0.290]], "raw_formation_energy_kj_per_mol_fu": -797, "spacegroup": "C2", "m_tot_mub_per_atom": 0.444, "dft_energy_ev_per_atom": -3.5854}


{"formula": "KC3Se", "functional": "GGA-PBE", "state": "relaxed", "lattice": [[5.207, 0.000, 0.000], [0.000, 5.207, 0.000], [0.000, 0.000, 5.207]], "species": ["K", "C", "C", "C", "Se"], "frac_coords": [[0.000, 0.000, 0.000], [0.000, 0.000, 0.500], [0.000, 0.500, 0.000], [0.500, 0.000, 0.000], [0.500, 0.500, 0.500]], "raw_formation_energy_kj_per_mol_fu": 2033, "de_polymorph_mev_per_atom": 1484, "spacegroup": "Pm-3m", "m_tot_mub_per_atom": 1.000, "dft_energy_ev_per_atom": -2.2361}


{"formula": "YTaZn2", "functional": "GGA-PBE", "state": "relaxed", "lattice": [[1.547, 0.893, 9.541], [-1.547, 0.893, 9.541], [0.000, -1.786, 9.541]], "species": ["Y", "Ta", "Zn", "Zn"], "frac_coords": [[0.000, 0.000, 0.000], [0.500, 0.500, 0.500], [0.244, 0.244, 0.244], [0.756, 0.756, 0.756]], "delta_e_f_kj_per_mol_atoms": 20.75, "de_polymorph_mev_per_atom": 247, "spacegroup": "R-3m", "m_tot_mub_per_atom": 0.000, "dft_energy_ev_per_atom": -5.0011}


{"formula": "KBi3Cl", "functional": "GGA-PBE", "state": "relaxed", "lattice": [[6.063, 0.000, 0.000], [0.000, 6.063, 0.000], [0.000, 0.000, 6.063]], "species": ["K", "Bi", "Bi", "Bi", "Cl"], "frac_coords": [[0.000, 0.000, 0.000], [0.000, 0.000, 0.500], [0.000, 0.500, 0.000], [0.500, 0.000, 0.000], [0.500, 0.500, 0.500]], "raw_formation_energy_kj_per_mol_fu": 486, "de_polymorph_mev_per_atom": 796, "spacegroup": "Pm-3m", "m_tot_mub_per_atom": 0.000, "dft_energy_ev_per_atom": -1.9100}